Arrangement one

A relaxed ZnCuNiSb crystal. Source: the Open Quantum Materials Database, functional PBE.

Geometry as CIF:
```
data_ZnCuNiSb
_chemical_formula_sum 'Zn4 Cu4 Ni4 Sb4'
_space_group_name_H-M_alt 'F -4 3 m'
_space_group_IT_number 216
_space_group_name_Hall 'F -4 2 3'
_cell_length_a 6.233
_cell_length_b 6.233
_cell_length_c 6.233
_cell_angle_alpha 90.00
_cell_angle_beta 90.00
_cell_angle_gamma 90.00
loop_
_atom_site_label
_atom_site_type_symbol
_atom_site_fract_x
_atom_site_fract_y
_atom_site_fract_z
_atom_site_occupancy
Zn1 Zn 0.000 0.000 0.000 1
Cu1 Cu 0.250 0.250 0.750 1
Ni1 Ni 0.250 0.250 0.250 1
Sb1 Sb 0.000 0.000 0.500 1
```

magnetization: 0.00 μB per formula unit
theoretical density: 8.488 g/cm³

---

Arrangement two

A relaxed ZnCuNiSb crystal. Source: the Open Quantum Materials Database, functional PBE.

Geometry as CIF:
```
data_ZnCuNiSb
_chemical_formula_sum 'Zn4 Cu4 Ni4 Sb4'
_space_group_name_H-M_alt 'F -4 3 m'
_space_group_IT_number 216
_space_group_name_Hall 'F -4 2 3'
_cell_length_a 6.259
_cell_length_b 6.259
_cell_length_c 6.259
_cell_angle_alpha 90.00
_cell_angle_beta 90.00
_cell_angle_gamma 90.00
loop_
_atom_site_label
_atom_site_type_symbol
_atom_site_fract_x
_atom_site_fract_y
_atom_site_fract_z
_atom_site_occupancy
Zn1 Zn 0.000 0.000 0.000 1
Cu1 Cu 0.250 0.250 0.250 1
Ni1 Ni 0.000 0.000 0.500 1
Sb1 Sb 0.250 0.250 0.750 1
```

magnetization: 0.00 μB per formula unit
theoretical density: 8.382 g/cm³

---

Least stable: arrangement two

---

Arrangement one

A relaxed ScTlCuNi crystal. Source: the Open Quantum Materials Database, functional PBE.

Geometry as CIF:
```
data_ScTlCuNi
_chemical_formula_sum 'Sc4 Tl4 Cu4 Ni4'
_space_group_name_H-M_alt 'F -4 3 m'
_space_group_IT_number 216
_space_group_name_Hall 'F -4 2 3'
_cell_length_a 6.446
_cell_length_b 6.446
_cell_length_c 6.446
_cell_angle_alpha 90.00
_cell_angle_beta 90.00
_cell_angle_gamma 90.00
loop_
_atom_site_label
_atom_site_type_symbol
_atom_site_fract_x
_atom_site_fract_y
_atom_site_fract_z
_atom_site_occupancy
Sc1 Sc 0.000 0.000 0.000 1
Tl1 Tl 0.250 0.250 0.250 1
Cu1 Cu 0.000 0.000 0.500 1
Ni1 Ni 0.250 0.250 0.750 1
```

magnetization: 0.00 μB per formula unit
theoretical density: 9.214 g/cm³

---

Arrangement two

A relaxed ScTlCuNi crystal. Source: the Open Quantum Materials Database, functional PBE.

Geometry as CIF:
```
data_ScTlCuNi
_chemical_formula_sum 'Sc4 Tl4 Cu4 Ni4'
_space_group_name_H-M_alt 'F -4 3 m'
_space_group_IT_number 216
_space_group_name_Hall 'F -4 2 3'
_cell_length_a 6.393
_cell_length_b 6.393
_cell_length_c 6.393
_cell_angle_alpha 90.00
_cell_angle_beta 90.00
_cell_angle_gamma 90.00
loop_
_atom_site_label
_atom_site_type_symbol
_atom_site_fract_x
_atom_site_fract_y
_atom_site_fract_z
_atom_site_occupancy
Sc1 Sc 0.000 0.000 0.000 1
Tl1 Tl 0.000 0.000 0.500 1
Cu1 Cu 0.250 0.250 0.750 1
Ni1 Ni 0.250 0.250 0.250 1
```

magnetization: 0.00 μB per formula unit
theoretical density: 9.445 g/cm³

---

Least stable: arrangement one

---

Arrangement one

A relaxed ScZnCuNi crystal. Source: the Open Quantum Materials Database, functional PBE.

Geometry as CIF:
```
data_ScZnCuNi
_chemical_formula_sum 'Sc4 Zn4 Cu4 Ni4'
_space_group_name_H-M_alt 'F -4 3 m'
_space_group_IT_number 216
_space_group_name_Hall 'F -4 2 3'
_cell_length_a 6.110
_cell_length_b 6.110
_cell_length_c 6.110
_cell_angle_alpha 90.00
_cell_angle_beta 90.00
_cell_angle_gamma 90.00
loop_
_atom_site_label
_atom_site_type_symbol
_atom_site_fract_x
_atom_site_fract_y
_atom_site_fract_z
_atom_site_occupancy
Sc1 Sc 0.000 0.000 0.000 1
Zn1 Zn 0.250 0.250 0.250 1
Cu1 Cu 0.000 0.000 0.500 1
Ni1 Ni 0.250 0.250 0.750 1
```

magnetization: 0.01 μB per formula unit
theoretical density: 6.775 g/cm³

---

Arrangement two

A relaxed ScZnCuNi crystal. Source: the Open Quantum Materials Database, functional PBE.

Geometry as CIF:
```
data_ScZnCuNi
_chemical_formula_sum 'Sc4 Zn4 Cu4 Ni4'
_space_group_name_H-M_alt 'F -4 3 m'
_space_group_IT_number 216
_space_group_name_Hall 'F -4 2 3'
_cell_length_a 6.116
_cell_length_b 6.116
_cell_length_c 6.116
_cell_angle_alpha 90.00
_cell_angle_beta 90.00
_cell_angle_gamma 90.00
loop_
_atom_site_label
_atom_site_type_symbol
_atom_site_fract_x
_atom_site_fract_y
_atom_site_fract_z
_atom_site_occupancy
Sc1 Sc 0.000 0.000 0.000 1
Zn1 Zn 0.250 0.250 0.750 1
Cu1 Cu 0.250 0.250 0.250 1
Ni1 Ni 0.000 0.000 0.500 1
```

magnetization: 0.00 μB per formula unit
theoretical density: 6.754 g/cm³

---

Least stable: arrangement two